Entry 1:
LaNd2ErTl2 (PBE, relaxed); M_tot = 0.0 μB per formula unit; energy of formation from the pure elements = -0.27 eV per atom; E = -4.2292 eV/atom
1.0
5.244 0.000 0.000
0.000 10.282 0.000
0.000 0.000 6.977
La Nd Er Tl
2 4 2 4
direct
0.000 0.045 0.000 La
0.000 0.955 0.500 La
0.000 0.318 0.376 Nd
0.000 0.682 0.876 Nd
0.500 0.452 0.097 Nd
0.500 0.548 0.597 Nd
0.500 0.192 0.718 Er
0.500 0.808 0.218 Er
0.000 0.358 0.838 Tl
0.000 0.642 0.338 Tl
0.500 0.129 0.267 Tl
0.500 0.871 0.767 Tl

***

Entry 2:
La2NdErTm5 (PBE, relaxed); M_tot = 0.0 μB per formula unit; energy of formation from the pure elements = 0.14 eV per atom; E = -4.4719 eV/atom
1.0
2.815 -9.790 0.000
2.815 9.790 0.000
0.000 0.000 10.755
La Nd Er Tm
4 2 2 10
direct
0.113 0.887 0.500 La
0.115 0.885 0.085 La
0.885 0.115 0.585 La
0.887 0.113 0.000 La
0.418 0.582 0.230 Nd
0.582 0.418 0.730 Nd
0.202 0.798 0.780 Er
0.798 0.202 0.280 Er
0.016 0.984 0.795 Tm
0.283 0.717 0.078 Tm
0.298 0.702 0.477 Tm
0.387 0.613 0.788 Tm
0.481 0.519 0.506 Tm
0.519 0.481 0.006 Tm
0.613 0.387 0.288 Tm
0.702 0.298 0.977 Tm
0.717 0.283 0.578 Tm
0.984 0.016 0.295 Tm

***

Entry 3:
La2NdEr2Tm2 (PBE, relaxed); M_tot = 0.0 μB per formula unit; energy of formation from the pure elements = 0.09 eV per atom; E = -4.5812 eV/atom
1.0
5.894 -1.762 0.000
5.894 1.762 0.000
-3.826 0.000 11.262
La Nd Er Tm
2 1 2 2
direct
0.173 0.173 0.084 La
0.827 0.827 0.916 La
0.500 0.500 0.500 Nd
0.274 0.274 0.634 Er
0.726 0.726 0.366 Er
0.047 0.047 0.769 Tm
0.953 0.953 0.231 Tm

***

Entry 4:
La6NdErTm2 (PBE, relaxed); M_tot = 0.0 μB per formula unit; energy of formation from the pure elements = 0.19 eV per atom; E = -4.5902 eV/atom
1.0
5.681 -3.578 0.000
5.681 3.578 0.000
-2.027 0.000 8.709
La Nd Er Tm
6 1 1 2
direct
0.098 0.539 0.192 La
0.141 0.141 0.440 La
0.461 0.902 0.808 La
0.539 0.098 0.192 La
0.859 0.859 0.560 La
0.902 0.461 0.808 La
0.500 0.500 0.500 Nd
0.000 0.000 0.000 Er
0.411 0.411 0.839 Tm
0.589 0.589 0.161 Tm

***

Entry 5:
La2Nd4ErTm (PBE, relaxed); M_tot = 0.0 μB per formula unit; energy of formation from the pure elements = 0.03 eV per atom; E = -4.7198 eV/atom
1.0
5.136 0.000 0.000
0.000 5.170 0.000
-0.017 0.000 10.384
La Nd Er Tm
2 4 1 1
direct
0.000 0.000 0.000 La
0.500 0.500 0.500 La
0.000 0.500 0.250 Nd
0.000 0.500 0.750 Nd
0.499 0.000 0.749 Nd
0.501 0.000 0.251 Nd
0.500 0.500 0.000 Er
0.000 0.000 0.500 Tm

***

Entry 6:
La4NdErTm2 (PBE, relaxed); M_tot = 0.0 μB per formula unit; energy of formation from the pure elements = 0.08 eV per atom; E = -4.6687 eV/atom
1.0
5.957 0.000 0.000
0.000 5.956 0.000
-0.003 0.000 7.769
La Nd Er Tm
4 1 1 2
direct
0.000 0.000 0.243 La
0.000 0.000 0.757 La
0.499 0.500 0.759 La
0.501 0.500 0.241 La
0.500 0.000 0.500 Nd
0.000 0.500 0.000 Er
0.000 0.500 0.500 Tm
0.500 0.000 0.000 Tm